Record 1
Below is crystalline CsNa3TiO4 at its relaxed geometry, with properties calculated at the GGA-PBEsol level.

POSCAR file:
```
CsNa3TiO4
1.0
-1.145 -5.697 2.935
-1.653 -4.907 -6.756
9.931 -5.312 -0.426
Cs Na Ti O
4 12 4 16
Direct
0.041 0.136 0.626
0.959 0.864 0.374
0.031 0.382 0.873
0.969 0.618 0.127
0.204 0.167 0.145
0.796 0.833 0.855
0.507 0.666 0.392
0.493 0.334 0.608
0.184 0.444 0.398
0.541 0.430 0.125
0.200 0.944 0.895
0.800 0.056 0.105
0.569 0.958 0.625
0.431 0.042 0.375
0.459 0.570 0.875
0.816 0.556 0.602
0.165 0.715 0.645
0.835 0.285 0.355
0.579 0.213 0.862
0.421 0.787 0.138
0.349 0.839 0.541
0.651 0.161 0.459
0.425 0.116 0.784
0.575 0.884 0.216
0.179 0.714 0.806
0.821 0.286 0.194
0.819 0.083 0.897
0.181 0.917 0.103
0.670 0.378 0.752
0.330 0.622 0.248
0.590 0.688 0.005
0.410 0.312 0.995
0.886 0.801 0.644
0.800 0.484 0.411
0.114 0.199 0.356
0.200 0.516 0.589
```

Calculated values
Volume (Å³/f.u.): 148.44
Symmetry: P-1 (2)
Electronic total energy (eV/atom): -5.928

---

Record 2
Below is crystalline Cs2Na3TlO4 at its relaxed geometry, with properties calculated at the GGA-PBEsol level.

POSCAR file:
```
Cs2Na3TlO4
1.0
-3.030 1.819 5.354
3.474 -8.173 4.743
10.490 5.435 1.684
Cs Na Tl O
8 12 4 16
Direct
0.101 0.278 0.394
0.399 0.778 0.106
0.899 0.722 0.606
0.133 0.000 0.863
0.601 0.222 0.894
0.867 0.000 0.137
0.633 0.500 0.363
0.367 0.500 0.637
0.587 0.252 0.197
0.382 0.027 0.296
0.882 0.473 0.796
0.413 0.748 0.803
0.207 0.008 0.568
0.913 0.752 0.303
0.707 0.492 0.068
0.118 0.527 0.204
0.293 0.508 0.932
0.618 0.973 0.704
0.793 0.992 0.432
0.087 0.248 0.697
0.839 0.722 0.936
0.339 0.778 0.436
0.161 0.278 0.064
0.661 0.222 0.564
0.896 0.693 0.119
0.396 0.807 0.619
0.604 0.193 0.381
0.670 0.907 0.893
0.094 0.680 0.844
0.330 0.093 0.107
0.830 0.407 0.607
0.594 0.820 0.344
0.906 0.320 0.156
0.110 0.940 0.377
0.610 0.560 0.877
0.406 0.180 0.656
0.104 0.307 0.881
0.890 0.060 0.623
0.170 0.593 0.393
0.390 0.440 0.123
```

Calculated values
Volume (Å³/f.u.): 189.94
Symmetry: P2_1/c (14)
Electronic total energy (eV/atom): -4.148

---

Record 3
Below is crystalline CsNa2P2 at its relaxed geometry, with properties calculated at the GGA-PBEsol level.

POSCAR file:
```
CsNa2P2
1.0
3.853 0.000 0.000
0.000 8.217 0.000
0.000 0.000 8.217
Cs P Na
2 4 4
Direct
0.000 0.000 0.000
0.000 0.500 0.500
0.500 0.096 0.596
0.500 0.596 0.904
0.500 0.904 0.404
0.500 0.404 0.096
0.000 0.347 0.847
0.000 0.847 0.653
0.000 0.653 0.153
0.000 0.153 0.347
```

Calculated values
Volume (Å³/f.u.): 130.08
Excess energy over the best structure of this formula in the dataset (meV per atom): 184
Symmetry: P4/mbm (127)
Electronic total energy (eV/atom): -3.192

---

Record 4
Below is crystalline CsNa2P2 at its relaxed geometry, with properties calculated at the GGA-PBEsol level.

POSCAR file:
```
CsNa2P2
1.0
-1.516 -4.487 -2.099
4.704 -0.616 -2.079
-0.134 0.184 6.095
Cs P Na
1 2 2
Direct
0.000 0.000 0.000
0.390 0.390 0.780
0.610 0.610 0.220
0.250 0.750 0.500
0.750 0.250 0.500
```

Calculated values
Volume (Å³/f.u.): 130.88
Excess energy over the best structure of this formula in the dataset (meV per atom): 0
Symmetry: I4/mmm (139)
Electronic total energy (eV/atom): -3.376

---

One value per record, in order, for D(E_F): 0.0 0.0 1.7 3.7 states/eV/f.u..